1.
BeAl3O6 | the Alexandria database | PBE | relaxed; formation energy from raw total energies = -2.51 eV/atom; crystal system = orthorhombic; mass density = 3.5 g/cm³; total energy = -6.984 eV per atom; DOS at the Fermi energy = 0.3212 states/eV per atom
1.0
3.866 -4.963 0.000
3.866 4.963 0.000
0.000 0.000 4.562
Be Al O
2 6 12
Direct
0.202 0.798 0.500 Be
0.798 0.202 0.000 Be
0.076 0.310 0.432 Al
0.310 0.076 0.932 Al
0.371 0.629 0.926 Al
0.629 0.371 0.426 Al
0.690 0.924 0.432 Al
0.924 0.690 0.932 Al
0.066 0.934 0.704 O
0.125 0.559 0.667 O
0.205 0.795 0.150 O
0.289 0.365 0.129 O
0.365 0.289 0.629 O
0.441 0.875 0.667 O
0.559 0.125 0.167 O
0.635 0.711 0.129 O
0.711 0.635 0.629 O
0.795 0.205 0.650 O
0.875 0.441 0.167 O
0.934 0.066 0.204 O

***

2.
BeAlO | the Alexandria database | PBE | relaxed; formation energy from raw total energies = -1.53 eV/atom; crystal system = monoclinic; mass density = 2.3 g/cm³; total energy = -5.668 eV per atom; DOS at the Fermi energy = 0.1906 states/eV per atom; energy above the most stable polymorph in this dataset = 17 meV/atom
1.0
4.491 0.000 0.000
0.000 2.723 0.000
-2.185 0.000 6.219
Be Al O
2 2 2
Direct
0.000 0.000 0.000 Be
0.499 0.500 0.987 Be
0.426 0.500 0.556 Al
0.851 0.000 0.405 Al
0.152 0.500 0.983 O
0.702 0.000 0.084 O

***

3.
BeAlO | the Alexandria database | PBE | relaxed; formation energy from raw total energies = -1.54 eV/atom; crystal system = triclinic; mass density = 1.8 g/cm³; total energy = -5.681 eV per atom; DOS at the Fermi energy = 0.1741 states/eV per atom; energy above the most stable polymorph in this dataset = 4 meV/atom
1.0
2.688 0.000 0.000
0.000 4.631 0.000
-1.225 -0.551 7.782
Be Al O
2 2 2
Direct
0.000 0.000 0.000 Be
0.500 0.500 0.000 Be
0.276 0.779 0.518 Al
0.776 0.279 0.519 Al
0.000 0.334 0.000 O
0.500 0.834 0.000 O

***

4.
BeAl2O | the Alexandria database | PBE | relaxed; formation energy from raw total energies = -0.56 eV/atom; crystal system = tetragonal; mass density = 2.3 g/cm³; total energy = -4.600 eV per atom; DOS at the Fermi energy = 0.1957 states/eV per atom; energy above the most stable polymorph in this dataset = 0 meV/atom
1.0
-2.547 2.547 4.420
2.547 -2.547 4.420
2.547 2.547 -4.420
Be Al O
2 4 2
Direct
0.000 0.000 0.000 Be
0.750 0.250 0.500 Be
0.186 0.625 0.061 Al
0.375 0.436 0.561 Al
0.564 0.125 0.939 Al
0.875 0.814 0.439 Al
0.250 0.750 0.500 O
0.500 0.500 0.000 O

***

5.
Be3AlO | the Alexandria database | PBE | relaxed; formation energy from raw total energies = -0.20 eV/atom; crystal system = cubic; mass density = 2.3 g/cm³; total energy = -4.171 eV per atom; DOS at the Fermi energy = 0.4965 states/eV per atom; energy above the most stable polymorph in this dataset = 0 meV/atom
1.0
3.676 0.000 0.000
0.000 3.676 0.000
0.000 0.000 3.676
Be Al O
3 1 1
Direct
0.000 0.000 0.500 Be
0.000 0.500 0.000 Be
0.500 0.000 0.000 Be
0.500 0.500 0.500 Al
0.000 0.000 0.000 O

***

6.
BeAlO | the Alexandria database | PBE | relaxed; formation energy from raw total energies = -1.54 eV/atom; crystal system = hexagonal; mass density = 1.8 g/cm³; total energy = -5.685 eV per atom; DOS at the Fermi energy = 0.0927 states/eV per atom; energy above the most stable polymorph in this dataset = 0 meV/atom
1.0
2.683 0.000 0.000
-1.341 2.323 0.000
0.000 0.000 7.617
Be Al O
1 1 1
Direct
0.000 0.000 0.000 Be
0.667 0.333 0.500 Al
0.667 0.333 0.000 O

***

7.
BeAl2O | the Alexandria database | PBE | relaxed; formation energy from raw total energies = 0.23 eV/atom; crystal system = cubic; mass density = 2.6 g/cm³; total energy = -3.810 eV per atom; DOS at the Fermi energy = 0.5782 states/eV per atom; energy above the most stable polymorph in this dataset = 790 meV/atom
1.0
0.000 2.932 2.932
2.932 0.000 2.932
2.932 2.932 0.000
Be Al O
1 2 1
Direct
0.000 0.000 0.000 Be
0.250 0.250 0.250 Al
0.750 0.750 0.750 Al
0.500 0.500 0.500 O

***

8.
Be2Al2O5 | the Alexandria database | PBE | relaxed; formation energy from raw total energies = -2.82 eV/atom; crystal system = monoclinic; mass density = 2.6 g/cm³; total energy = -7.233 eV per atom; DOS at the Fermi energy = 0.0000 states/eV per atom
1.0
7.475 -1.464 0.000
7.475 1.464 0.000
-1.130 0.000 4.484
Be Al O
2 2 5
Direct
0.196 0.196 0.056 Be
0.804 0.804 0.944 Be
0.389 0.389 0.516 Al
0.611 0.611 0.484 Al
0.146 0.146 0.319 O
0.314 0.314 0.136 O
0.500 0.500 0.500 O
0.686 0.686 0.864 O
0.854 0.854 0.681 O

***

Question: Which value of total energy does entry 4 give?
Answer: -4.600 eV per atom